(1)
First-principles (SCAN) data for a crystal of LaYIn2 relaxed with PBEsol, as listed in Alexandria.

Cell and atoms, written as CIF:
```
data_LaYIn2
_symmetry_space_group_name_H-M 'R 3 m'
_symmetry_Int_Tables_number 160
_symmetry_space_group_name_Hall 'R 3 -2"'
_cell_length_a 3.4909
_cell_length_b 3.4909
_cell_length_c 32.2582
_cell_angle_alpha 90.00
_cell_angle_beta 90.00
_cell_angle_gamma 120.00
loop_
_atom_site_label
_atom_site_type_symbol
_atom_site_fract_x
_atom_site_fract_y
_atom_site_fract_z
La1 La 0.0000 0.0000 0.0000
Y1 Y 0.0000 0.0000 0.2430
In1 In 0.0000 0.0000 0.4959
In2 In 0.0000 0.0000 0.7541
```

Summary:
DOS(E_F), states/eV per atom: 0.727
Formation energy from the elements, meV/atom: -152

=====

(2)
First-principles (SCAN) data for a crystal of Cd3AuC relaxed with PBEsol, as listed in Alexandria.

Cell and atoms, written as CIF:
```
data_Cd3AuC
_symmetry_space_group_name_H-M 'P m -3 m'
_symmetry_Int_Tables_number 221
_symmetry_space_group_name_Hall '-P 4 2 3'
_cell_length_a 4.4952
_cell_length_b 4.4952
_cell_length_c 4.4952
_cell_angle_alpha 90.00
_cell_angle_beta 90.00
_cell_angle_gamma 90.00
loop_
_atom_site_label
_atom_site_type_symbol
_atom_site_fract_x
_atom_site_fract_y
_atom_site_fract_z
Cd1 Cd 0.0000 0.0000 0.5000
Au1 Au 0.5000 0.5000 0.5000
C1 C 0.0000 0.0000 0.0000
```

Summary:
DOS(E_F), states/eV per atom: 0.294
Formation energy from the elements, meV/atom: 586
Energy above the lowest structure with this stoichiometry, eV/f.u.: 0.00

=====

(3)
First-principles (SCAN) data for a crystal of MgTe2PdN relaxed with PBEsol, as listed in Alexandria.

Cell and atoms, written as CIF:
```
data_MgTe2PdN
_symmetry_space_group_name_H-M 'P 4/m m m'
_symmetry_Int_Tables_number 123
_symmetry_space_group_name_Hall '-P 4 2'
_cell_length_a 5.3889
_cell_length_b 5.3889
_cell_length_c 3.7018
_cell_angle_alpha 90.00
_cell_angle_beta 90.00
_cell_angle_gamma 90.00
loop_
_atom_site_label
_atom_site_type_symbol
_atom_site_fract_x
_atom_site_fract_y
_atom_site_fract_z
Mg1 Mg 0.0000 0.0000 0.0000
Te1 Te 0.0000 0.5000 0.0000
Pd1 Pd 0.5000 0.5000 0.5000
N1 N 0.0000 0.0000 0.5000
```

Summary:
Uncorrected formation energy, eV/atom: 0.704
DOS(E_F), states/eV per atom: 0.523

=====

(4)
First-principles (SCAN) data for a crystal of KPbO2 relaxed with PBEsol, as listed in Alexandria.

Cell and atoms, written as CIF:
```
data_KPbO2
_symmetry_space_group_name_H-M 'I -4 2 d'
_symmetry_Int_Tables_number 122
_symmetry_space_group_name_Hall 'I -4 2bw'
_cell_length_a 6.0037
_cell_length_b 6.0037
_cell_length_c 9.4645
_cell_angle_alpha 90.00
_cell_angle_beta 90.00
_cell_angle_gamma 90.00
loop_
_atom_site_label
_atom_site_type_symbol
_atom_site_fract_x
_atom_site_fract_y
_atom_site_fract_z
K1 K 0.0000 0.0000 0.0000
Pb1 Pb 0.0000 0.0000 0.5000
O1 O 0.1782 0.7500 0.6250
```

Summary:
Uncorrected formation energy, eV/atom: -1.187
DOS(E_F), states/eV per atom: 0.107

=====

(5)
First-principles (SCAN) data for a crystal of TcSb relaxed with PBEsol, as listed in Alexandria.

Cell and atoms, written as CIF:
```
data_TcSb
_symmetry_space_group_name_H-M 'C 1 2/m 1'
_symmetry_Int_Tables_number 12
_symmetry_space_group_name_Hall '-C 2y'
_cell_length_a 9.4200
_cell_length_b 3.2285
_cell_length_c 4.7296
_cell_angle_alpha 90.00
_cell_angle_beta 106.86
_cell_angle_gamma 90.00
loop_
_atom_site_label
_atom_site_type_symbol
_atom_site_fract_x
_atom_site_fract_y
_atom_site_fract_z
Tc1 Tc 0.1260 0.0000 0.3029
Sb1 Sb 0.1154 0.5000 0.8118
```

Summary:
Uncorrected formation energy, eV/atom: 0.163
DOS(E_F), states/eV per atom: 0.444
Energy above the lowest structure with this stoichiometry, eV/f.u.: 0.20

=====

(6)
First-principles (SCAN) data for a crystal of Bi3MoAu relaxed with PBEsol, as listed in Alexandria.

Cell and atoms, written as CIF:
```
data_Bi3MoAu
_symmetry_space_group_name_H-M 'P m -3 m'
_symmetry_Int_Tables_number 221
_symmetry_space_group_name_Hall '-P 4 2 3'
_cell_length_a 5.2678
_cell_length_b 5.2678
_cell_length_c 5.2678
_cell_angle_alpha 90.00
_cell_angle_beta 90.00
_cell_angle_gamma 90.00
loop_
_atom_site_label
_atom_site_type_symbol
_atom_site_fract_x
_atom_site_fract_y
_atom_site_fract_z
Bi1 Bi 0.0000 0.0000 0.5000
Mo1 Mo 0.0000 0.0000 0.0000
Au1 Au 0.5000 0.5000 0.5000
```

Summary:
DOS(E_F), states/eV per atom: 0.732
Formation energy from the elements, meV/atom: 725

=====

Number 1: spin magnetization 1.14 μB/cell. Number 2: spin magnetization 0.00 μB/cell. Number 3: spin magnetization 1.94 μB/cell. Number 4: spin magnetization 0.00 μB/cell. Number 5: spin magnetization 0.00 μB/cell. Number 6: spin magnetization 0.00 μB/cell.